# Nd6Tl3Sb PBE-GGA relaxed
data_Nd6Tl3Sb
_chemical_formula_sum 'Nd12 Tl6 Sb2'
_cell_length_a 11.982
_cell_length_b 4.021
_cell_length_c 14.211
_cell_angle_alpha 90.00
_cell_angle_beta 107.06
_cell_angle_gamma 90.00
_symmetry_space_group_name_H-M 'P 1 21/m 1'
_symmetry_Int_Tables_number 11
loop_
_symmetry_equiv_pos_as_xyz
'x,y,z'
'-x,-y,-z'
'-x,y+1/2,-z'
'x,-y+1/2,z'
loop_
_atom_site_label
_atom_site_fract_x
_atom_site_fract_y
_atom_site_fract_z
_atom_site_occupancy
Nd1 0.000 0.250 0.165 1
Nd2 0.108 0.750 0.408 1
Nd3 0.241 0.250 0.825 1
Nd4 0.329 0.250 0.266 1
Nd5 0.361 0.250 0.633 1
Nd6 0.381 0.750 0.036 1
Tl1 0.115 0.750 0.636 1
Tl2 0.158 0.250 0.022 1
Tl3 0.394 0.750 0.458 1
Sb1 0.448 0.750 0.819 1
# - crystal system = monoclinic

=====

# Nd8Tl2Sb PBE-GGA relaxed
data_Nd8Tl2Sb
_chemical_formula_sum 'Nd16 Tl4 Sb2'
_cell_length_a 8.966
_cell_length_b 15.146
_cell_length_c 5.716
_cell_angle_alpha 90.00
_cell_angle_beta 112.53
_cell_angle_gamma 90.00
_symmetry_space_group_name_H-M 'C 1 2/m 1'
_symmetry_Int_Tables_number 12
loop_
_symmetry_equiv_pos_as_xyz
'x,y,z'
'-x,-y,-z'
'-x,y,-z'
'x,-y,z'
'x+1/2,y+1/2,z'
'-x+1/2,-y+1/2,-z'
'-x+1/2,y+1/2,-z'
'x+1/2,-y+1/2,z'
loop_
_atom_site_label
_atom_site_fract_x
_atom_site_fract_y
_atom_site_fract_z
_atom_site_occupancy
Nd1 0.000 0.220 0.000 1
Nd2 0.103 0.500 0.798 1
Nd3 0.196 0.109 0.605 1
Tl1 0.000 0.308 0.500 1
Sb1 0.000 0.000 0.000 1
# - crystal system = monoclinic

=====

# Nd5TlSb4 PBE-GGA relaxed
data_Nd5TlSb4
_chemical_formula_sum 'Nd10 Tl2 Sb8'
_cell_length_a 10.136
_cell_length_b 10.136
_cell_length_c 6.387
_cell_angle_alpha 90.00
_cell_angle_beta 90.00
_cell_angle_gamma 90.00
_symmetry_space_group_name_H-M 'I 4/m'
_symmetry_Int_Tables_number 87
_symmetry_space_group_name_Hall '-I 4'
loop_
_atom_site_label
_atom_site_fract_x
_atom_site_fract_y
_atom_site_fract_z
_atom_site_occupancy
Nd1 0.000 0.000 0.000 1
Nd2 0.105 0.691 0.500 1
Tl1 0.000 0.000 0.500 1
Sb1 0.101 0.701 0.000 1
# - crystal system = tetragonal

=====

# NdTlSb2 PBE-GGA relaxed
data_NdTlSb2
_chemical_formula_sum 'Nd3 Tl3 Sb6'
_cell_length_a 4.4445
_cell_length_b 4.4445
_cell_length_c 23.6612
_cell_angle_alpha 90.00
_cell_angle_beta 90.00
_cell_angle_gamma 120.00
_symmetry_space_group_name_H-M 'R -3 m'
_symmetry_Int_Tables_number 166
_symmetry_space_group_name_Hall '-R 3 2"'
loop_
_atom_site_label
_atom_site_fract_x
_atom_site_fract_y
_atom_site_fract_z
_atom_site_occupancy
Nd1 0.0000 0.0000 0.0000 1
Tl1 0.0000 0.0000 0.5000 1
Sb1 0.0000 0.0000 0.2539 1
# - crystal system = trigonal

=====

# Nd8Tl3Sb2 PBE-GGA relaxed
data_Nd8Tl3Sb2
_chemical_formula_sum 'Nd16 Tl6 Sb4'
_cell_length_a 15.343
_cell_length_b 8.996
_cell_length_c 6.386
_cell_angle_alpha 90.00
_cell_angle_beta 91.68
_cell_angle_gamma 90.00
_symmetry_space_group_name_H-M 'C 1 2/m 1'
_symmetry_Int_Tables_number 12
loop_
_symmetry_equiv_pos_as_xyz
'x,y,z'
'-x,-y,-z'
'-x,y,-z'
'x,-y,z'
'x+1/2,y+1/2,z'
'-x+1/2,-y+1/2,-z'
'-x+1/2,y+1/2,-z'
'x+1/2,-y+1/2,z'
loop_
_atom_site_label
_atom_site_fract_x
_atom_site_fract_y
_atom_site_fract_z
_atom_site_occupancy
Nd1 0.096 0.000 0.135 1
Nd2 0.124 0.202 0.629 1
Nd3 0.181 0.500 0.088 1
Tl1 0.000 0.316 0.000 1
Tl2 0.000 0.500 0.500 1
Sb1 0.229 0.500 0.579 1
# - crystal system = monoclinic

=====

# Nd6Tl2Sb PBE-GGA relaxed
data_Nd6Tl2Sb
_chemical_formula_sum 'Nd6 Tl2 Sb1'
_cell_length_a 8.8011
_cell_length_b 8.8011
_cell_length_c 4.2733
_cell_angle_alpha 90.00
_cell_angle_beta 90.00
_cell_angle_gamma 120.00
_symmetry_space_group_name_H-M 'P -6 2 m'
_symmetry_Int_Tables_number 189
_symmetry_space_group_name_Hall 'P -6 -2'
loop_
_atom_site_label
_atom_site_fract_x
_atom_site_fract_y
_atom_site_fract_z
_atom_site_occupancy
Nd1 0.0000 0.3943 0.0000 1
Nd2 0.0000 0.7261 0.5000 1
Tl1 0.3333 0.6667 0.5000 1
Sb1 0.0000 0.0000 0.0000 1
# - crystal system = hexagonal

=====

# Nd3Tl2Sb PBE-GGA relaxed
data_Nd3Tl2Sb
_chemical_formula_sum 'Nd12 Tl8 Sb4'
_cell_length_a 15.409
_cell_length_b 6.400
_cell_length_c 8.401
_cell_angle_alpha 90.00
_cell_angle_beta 105.85
_cell_angle_gamma 90.00
_symmetry_space_group_name_H-M 'C 1 2/c 1'
_symmetry_Int_Tables_number 15
loop_
_symmetry_equiv_pos_as_xyz
'x,y,z'
'-x,-y,-z'
'-x,y,-z+1/2'
'x,-y,z+1/2'
'x+1/2,y+1/2,z'
'-x+1/2,-y+1/2,-z'
'-x+1/2,y+1/2,-z+1/2'
'x+1/2,-y+1/2,z+1/2'
loop_
_atom_site_label
_atom_site_fract_x
_atom_site_fract_y
_atom_site_fract_z
_atom_site_occupancy
Nd1 0.000 0.000 0.250 1
Nd2 0.154 0.499 0.077 1
Tl1 0.176 0.001 0.587 1
Sb1 0.000 0.500 0.250 1
# - crystal system = monoclinic

=====

# NdTlSb PBE-GGA relaxed
data_NdTlSb
_chemical_formula_sum 'Nd2 Tl2 Sb2'
_cell_length_a 4.521
_cell_length_b 4.521
_cell_length_c 9.171
_cell_angle_alpha 90.00
_cell_angle_beta 90.00
_cell_angle_gamma 90.00
_symmetry_space_group_name_H-M 'P 4/n m m'
_symmetry_Int_Tables_number 129
loop_
_symmetry_equiv_pos_as_xyz
'x,y,z'
'-x,-y,-z'
'-y+1/2,x,z'
'y+1/2,-x,-z'
'-x+1/2,-y+1/2,z'
'x+1/2,y+1/2,-z'
'y,-x+1/2,z'
'-y,x+1/2,-z'
'x+1/2,-y,-z'
'-x+1/2,y,z'
'-y,-x,-z'
'y,x,z'
'-x,y+1/2,-z'
'x,-y+1/2,z'
'y+1/2,x+1/2,-z'
'-y+1/2,-x+1/2,z'
loop_
_atom_site_label
_atom_site_fract_x
_atom_site_fract_y
_atom_site_fract_z
_atom_site_occupancy
Nd1 0.250 0.250 0.164 1
Tl1 0.250 0.750 0.500 1
Sb1 0.250 0.250 0.818 1
# - crystal system = tetragonal

=====

# NdTlSb2 PBE-GGA relaxed
data_NdTlSb2
_chemical_formula_sum 'Nd1 Tl1 Sb2'
_cell_length_a 4.257
_cell_length_b 4.257
_cell_length_c 6.627
_cell_angle_alpha 90.00
_cell_angle_beta 90.00
_cell_angle_gamma 90.00
_symmetry_space_group_name_H-M 'P 4/m m m'
_symmetry_Int_Tables_number 123
_symmetry_space_group_name_Hall '-P 4 2'
loop_
_atom_site_label
_atom_site_fract_x
_atom_site_fract_y
_atom_site_fract_z
_atom_site_occupancy
Nd1 0.000 0.000 0.000 1
Tl1 0.000 0.000 0.500 1
Sb1 0.500 0.500 0.224 1
# - crystal system = tetragonal

=====

# NdTlSb2 PBE-GGA relaxed
data_NdTlSb2
_chemical_formula_sum 'Nd3 Tl3 Sb6'
_cell_length_a 5.1308
_cell_length_b 5.1308
_cell_length_c 17.8913
_cell_angle_alpha 90.00
_cell_angle_beta 90.00
_cell_angle_gamma 120.00
_symmetry_space_group_name_H-M 'R 3 m'
_symmetry_Int_Tables_number 160
_symmetry_space_group_name_Hall 'R 3 -2"'
loop_
_atom_site_label
_atom_site_fract_x
_atom_site_fract_y
_atom_site_fract_z
_atom_site_occupancy
Nd1 0.0000 0.0000 0.0000 1
Tl1 0.0000 0.0000 0.1815 1
Sb1 0.0000 0.0000 0.4157 1
Sb2 0.0000 0.0000 0.5823 1
# - crystal system = trigonal

=====

# Nd5Tl2Sb PBE-GGA relaxed
data_Nd5Tl2Sb
_chemical_formula_sum 'Nd10 Tl4 Sb2'
_cell_length_a 7.401
_cell_length_b 13.317
_cell_length_c 5.174
_cell_angle_alpha 90.00
_cell_angle_beta 90.00
_cell_angle_gamma 90.00
_symmetry_space_group_name_H-M 'P b a m'
_symmetry_Int_Tables_number 55
loop_
_symmetry_equiv_pos_as_xyz
'x,y,z'
'-x,-y,-z'
'-x,-y,z'
'x,y,-z'
'x+1/2,-y+1/2,-z'
'-x+1/2,y+1/2,z'
'-x+1/2,y+1/2,-z'
'x+1/2,-y+1/2,z'
loop_
_atom_site_label
_atom_site_fract_x
_atom_site_fract_y
_atom_site_fract_z
_atom_site_occupancy
Nd1 0.000 0.000 0.000 1
Nd2 0.136 0.276 0.000 1
Nd3 0.187 0.589 0.500 1
Tl1 0.110 0.840 0.500 1
Sb1 0.000 0.500 0.000 1
# - crystal system = orthorhombic

=====

# Nd5Tl2Sb PBE-GGA relaxed
data_Nd5Tl2Sb
_chemical_formula_sum 'Nd20 Tl8 Sb4'
_cell_length_a 8.698
_cell_length_b 8.698
_cell_length_c 13.259
_cell_angle_alpha 90.00
_cell_angle_beta 90.00
_cell_angle_gamma 90.00
_symmetry_space_group_name_H-M 'I 4/m c m'
_symmetry_Int_Tables_number 140
_symmetry_space_group_name_Hall '-I 4 2c'
loop_
_atom_site_label
_atom_site_fract_x
_atom_site_fract_y
_atom_site_fract_z
_atom_site_occupancy
Nd1 0.000 0.000 0.000 1
Nd2 0.159 0.341 0.152 1
Tl1 0.140 0.360 0.500 1
Sb1 0.000 0.000 0.250 1
# - crystal system = tetragonal

=====

Formation energy from raw total energies readings, ordered: -0.36; -0.23; -0.97; -0.32; -0.36; -0.44; -0.51; -0.66; -0.53; -0.37; -0.48; -0.49 eV/atom